VASP calculation (PBE-GGA) on PrCrP2Ru after structural relaxation.

N(E_F) = 3.29 states/eV/f.u.
Energy of formation from the pure elements = -4.4 eV/f.u.

Cell: 3.9830 3.9830 6.1157 Å, 109.00 109.00 90.00°
Atoms (fractional coordinates):
Pr (0.0000, 0.0000, 0.0000)
Cr (0.2500, 0.7500, 0.5000)
P (0.6363, 0.6363, 0.2727)
P (0.3637, 0.3637, 0.7273)
Ru (0.7500, 0.2500, 0.5000)


VASP calculation (PBE-GGA) on CrP2Pt after structural relaxation.

N(E_F) = 3.08 states/eV/f.u.
Energy above the lowest structure with this stoichiometry = 175 meV per atom
Energy of formation from the pure elements = -0.6 eV/f.u.

Cell: 4.0273 4.0273 4.8889 Å, 82.95 82.95 43.47°
Atoms (fractional coordinates):
Cr (0.7500, 0.7500, 0.7500)
P (0.0223, 0.0223, 0.9438)
P (0.4777, 0.4777, 0.5562)
Pt (0.2500, 0.2500, 0.2500)


VASP calculation (PBE-GGA) on Cr2PPt after structural relaxation.

N(E_F) = 3.36 states/eV/f.u.
Energy of formation from the pure elements = -0.8 eV/f.u.

Cell: 3.5012 2.8505 5.6141 Å, 75.28 90.00 90.00°
Atoms (fractional coordinates):
Cr (0.0000, 0.9290, 0.0161)
Cr (0.5000, 0.2979, 0.2799)
P (0.0000, 0.7146, 0.4472)
Pt (0.5000, 0.5585, 0.7568)


VASP calculation (PBE-GGA) on Cr2PPt after structural relaxation.

N(E_F) = 4.30 states/eV/f.u.
Energy of formation from the pure elements = -1.1 eV/f.u.

Cell: 2.7566 2.7566 6.5307 Å, 90.00 90.00 90.01°
Atoms (fractional coordinates):
Cr (0.0000, 0.0000, 0.0406)
Cr (0.0000, 0.0000, 0.4594)
P (0.5000, 0.5000, 0.2500)
Pt (0.5000, 0.5000, 0.7500)


VASP calculation (PBE-GGA) on CrPPt after structural relaxation.

N(E_F) = 3.16 states/eV/f.u.
Energy of formation from the pure elements = -0.4 eV/f.u.

Cell: 5.1748 5.1748 2.8931 Å, 73.77 73.77 32.47°
Atoms (fractional coordinates):
Cr (0.9717, 0.9717, 0.0283)
P (0.3577, 0.3576, 0.6424)
Pt (0.6707, 0.6707, 0.3293)


VASP calculation (PBE-GGA) on Cr2PPt after structural relaxation.

N(E_F) = 3.84 states/eV/f.u.
Energy of formation from the pure elements = -0.4 eV/f.u.

Cell: 2.8081 3.7007 4.9370 Å, 90.00 90.00 90.00°
Atoms (fractional coordinates):
Cr (0.0000, 0.0000, 0.0418)
Cr (0.0000, 0.0000, 0.4582)
P (0.5000, 0.5000, 0.2500)
Pt (0.5000, 0.5000, 0.7500)


VASP calculation (PBE-GGA) on Cr2PPt after structural relaxation.

N(E_F) = 7.20 states/eV/f.u.
Energy of formation from the pure elements = -0.2 eV/f.u.

Cell: 8.1835 8.1835 8.1835 Å, 19.06 19.06 19.06°
Atoms (fractional coordinates):
Cr (0.9919, 0.9919, 0.9919)
Cr (0.5081, 0.5081, 0.5081)
P (0.2500, 0.2500, 0.2500)
Pt (0.7500, 0.7500, 0.7500)


VASP calculation (PBE-GGA) on Cr2PPt after structural relaxation.

N(E_F) = 3.86 states/eV/f.u.
Energy of formation from the pure elements = -0.2 eV/f.u.

Cell: 3.7658 3.7669 3.7335 Å, 90.00 90.00 90.00°
Atoms (fractional coordinates):
Cr (0.0000, 0.0000, 0.0000)
Cr (0.5000, 0.5000, 0.0000)
P (0.5000, 0.0000, 0.5000)
Pt (0.0000, 0.5000, 0.5000)


VASP calculation (PBE-GGA) on CrP2Pt after structural relaxation.

N(E_F) = 1.51 states/eV/f.u.
Energy above the lowest structure with this stoichiometry = 126 meV per atom
Energy of formation from the pure elements = -0.8 eV/f.u.

Cell: 3.7588 4.1343 4.3191 Å, 89.20 90.00 90.00°
Atoms (fractional coordinates):
Cr (0.5000, 0.7500, 0.7500)
P (0.0000, 0.0871, 0.9486)
P (0.0000, 0.4129, 0.5514)
Pt (0.5000, 0.2500, 0.2500)


VASP calculation (PBE-GGA) on CrPPt2 after structural relaxation.

N(E_F) = 3.55 states/eV/f.u.
Energy of formation from the pure elements = -1.1 eV/f.u.

Cell: 5.8257 5.8257 3.5489 Å, 90.00 90.00 151.62°
Atoms (fractional coordinates):
Cr (0.9139, 0.0861, 0.0000)
P (0.3375, 0.6625, 0.5000)
Pt (0.1982, 0.8018, 0.0000)
Pt (0.5503, 0.4497, 0.5000)


VASP calculation (PBE-GGA) on CrPPt3 after structural relaxation.

N(E_F) = 3.85 states/eV/f.u.
Energy above the lowest structure with this stoichiometry = 0 meV per atom
Energy of formation from the pure elements = 0.9 eV/f.u.

Cell: 4.4953 4.4953 4.4953 Å, 90.00 90.00 90.00°
Atoms (fractional coordinates):
Cr (0.5000, 0.5000, 0.5000)
Pt (0.0000, 0.5000, 0.0000)
Pt (0.0000, 0.0000, 0.5000)
Pt (0.5000, 0.0000, 0.0000)
P (0.0000, 0.0000, 0.0000)


VASP calculation (PBE-GGA) on Cr2PPt after structural relaxation.

N(E_F) = 3.02 states/eV/f.u.
Energy of formation from the pure elements = -0.4 eV/f.u.

Cell: 4.4213 4.4213 4.6576 Å, 87.55 87.55 37.17°
Atoms (fractional coordinates):
Cr (0.0131, 0.0131, 0.9738)
Cr (0.7371, 0.7371, 0.7272)
P (0.4721, 0.4721, 0.5783)
Pt (0.2776, 0.2776, 0.2206)


VASP calculation (PBE-GGA) on CrP3Pt after structural relaxation.

N(E_F) = 2.86 states/eV/f.u.
Energy above the lowest structure with this stoichiometry = 0 meV per atom
Energy of formation from the pure elements = 2.6 eV/f.u.

Cell: 4.3638 4.3638 4.3638 Å, 90.00 90.00 90.00°
Atoms (fractional coordinates):
Cr (0.0000, 0.0000, 0.0000)
Pt (0.5000, 0.5000, 0.5000)
P (0.0000, 0.5000, 0.0000)
P (0.0000, 0.0000, 0.5000)
P (0.5000, 0.0000, 0.0000)


VASP calculation (PBE-GGA) on Cr2PPt after structural relaxation.

N(E_F) = 3.94 states/eV/f.u.
Energy of formation from the pure elements = -0.6 eV/f.u.

Cell: 3.7051 2.7118 5.3904 Å, 70.38 90.00 90.00°
Atoms (fractional coordinates):
Cr (0.0000, 0.0459, 0.0419)
Cr (0.0000, 0.4541, 0.4581)
P (0.5000, 0.2500, 0.2500)
Pt (0.5000, 0.7500, 0.7500)